# 1
DFT (PBE) results for crystalline TaNiB at its relaxed geometry.

Summary:
The magnetization comes out at 0.00 Bohr magnetons per cell. For the formation energy, the calculation gives -1.8 eV per formula unit. As for the symmetry: P2_1/m (11). The value obtained for the calculated density is 12.510 g cm⁻³.

Structure (POSCAR):
```
TaNiB
1.0
3.3530 0.0000 0.0000
0.0000 5.8825 0.0229
0.0000 0.0215 10.1126
B Ta Ni
6 6 6
Direct
0.7500 0.7572 0.5846
0.2500 0.7587 0.9173
0.7500 0.2643 0.7502
0.7500 0.2413 0.0827
0.2500 0.7357 0.2498
0.2500 0.2428 0.4154
0.2500 0.4671 0.6205
0.2500 0.9691 0.7108
0.7500 0.5329 0.3795
0.7500 0.6541 0.0797
0.2500 0.3459 0.9203
0.7500 0.0309 0.2892
0.7500 0.0020 0.9113
0.7500 0.1439 0.5372
0.2500 0.9980 0.0887
0.2500 0.3650 0.2019
0.7500 0.6350 0.7981
0.2500 0.8561 0.4628
```

=====

# 2
DFT (PBE) results for crystalline TaNiB at its relaxed geometry.

Summary:
The magnetization comes out at 0.00 Bohr magnetons per cell. For the formation energy, the calculation gives -0.3 eV per formula unit. As for the symmetry: Fmmm (69). The value obtained for the calculated density is 11.787 g cm⁻³.

Structure (POSCAR):
```
TaNiB
1.0
4.5580 0.0356 0.0000
-2.1516 4.0184 0.0000
-1.2032 -2.0270 3.8369
B Ta Ni
2 2 2
Direct
0.7500 0.2500 0.5000
0.2500 0.7500 0.5000
0.3333 0.6667 0.0000
0.6667 0.3333 0.0000
0.1799 0.1799 0.3598
0.8201 0.8201 0.6402
```

=====

# 3
DFT (PBE) results for crystalline TaNi10B3 at its relaxed geometry.

Summary:
The magnetization comes out at 0.00 Bohr magnetons per cell. For the formation energy, the calculation gives -4.1 eV per formula unit. As for the symmetry: Fm-3m (225). The value obtained for the calculated density is 9.166 g cm⁻³.

Structure (POSCAR):
```
TaNi10B3
1.0
6.4341 0.0000 3.7147
2.1447 6.0661 3.7147
0.0000 0.0000 7.4295
Ta B Ni
2 6 20
Direct
0.7500 0.7500 0.7500
0.2500 0.2500 0.2500
0.7325 0.2675 0.2675
0.2675 0.7325 0.7325
0.7325 0.7325 0.2675
0.2675 0.2675 0.7325
0.7325 0.2675 0.7325
0.2675 0.7325 0.2675
0.6158 0.6158 0.6158
0.0000 0.6608 0.0000
0.6608 0.0000 0.0000
0.6608 0.3392 0.0000
0.0000 0.3392 0.6608
0.0000 0.0000 0.6608
0.0000 0.6608 0.3392
0.3392 0.0000 0.6608
0.3842 0.8474 0.3842
0.3392 0.0000 0.0000
0.0000 0.3392 0.0000
0.6158 0.6158 0.1526
0.3842 0.3842 0.3842
0.0000 0.0000 0.3392
0.3392 0.6608 0.0000
0.3842 0.3842 0.8474
0.6608 0.0000 0.3392
0.6158 0.1526 0.6158
0.8474 0.3842 0.3842
0.1526 0.6158 0.6158
```

=====

# 4
DFT (PBE) results for crystalline TaNiB2 at its relaxed geometry.

Summary:
The magnetization comes out at 0.00 Bohr magnetons per cell. For the formation energy, the calculation gives -2.5 eV per formula unit. For the energy relative to the lowest polymorph listed for this composition, the calculation gives 0 meV/atom. As for the symmetry: Pnma (62). The value obtained for the calculated density is 11.238 g cm⁻³.

Structure (POSCAR):
```
TaNiB2
1.0
3.1188 0.0000 0.0000
0.0000 6.0467 0.0000
0.0000 0.0000 8.1881
Ta Ni B
4 4 8
Direct
0.7500 0.3678 0.3674
0.2500 0.1322 0.8674
0.7500 0.8678 0.1326
0.2500 0.6322 0.6326
0.7500 0.9987 0.6164
0.2500 0.0013 0.3836
0.7500 0.4987 0.8836
0.2500 0.5013 0.1164
0.2500 0.1723 0.1674
0.7500 0.8277 0.8326
0.7500 0.2575 0.0758
0.7500 0.3277 0.6674
0.2500 0.2425 0.5758
0.2500 0.7425 0.9242
0.2500 0.6723 0.3326
0.7500 0.7575 0.4242
```

=====

# 5
DFT (PBE) results for crystalline Ta3Ni20B6 at its relaxed geometry.

Summary:
The magnetization comes out at 0.00 Bohr magnetons per cell. For the formation energy, the calculation gives -11.0 eV per formula unit. As for the symmetry: Fm-3m (225). The value obtained for the calculated density is 9.938 g cm⁻³.

Structure (POSCAR):
```
Ta3Ni20B6
1.0
7.4947 0.0000 0.0000
3.7473 6.4906 0.0000
3.7473 2.1635 6.1194
B Ta Ni
6 3 20
Direct
0.7328 0.2672 0.7328
0.2672 0.2672 0.7328
0.2672 0.7328 0.2672
0.7328 0.2672 0.2672
0.7328 0.7328 0.2672
0.2672 0.7328 0.7328
0.2500 0.2500 0.2500
0.0000 0.0000 0.0000
0.7500 0.7500 0.7500
0.6156 0.6156 0.6156
0.3844 0.3844 0.8467
0.3432 0.0000 0.0000
0.6156 0.1533 0.6156
0.0000 0.6568 0.0000
0.0000 0.0000 0.6568
0.8467 0.3844 0.3844
0.3844 0.8467 0.3844
0.6568 0.0000 0.3432
0.3432 0.6568 0.0000
0.3844 0.3844 0.3844
0.0000 0.0000 0.3432
0.1533 0.6156 0.6156
0.6568 0.3432 0.0000
0.6156 0.6156 0.1533
0.0000 0.3432 0.6568
0.3432 0.0000 0.6568
0.0000 0.6568 0.3432
0.0000 0.3432 0.0000
0.6568 0.0000 0.0000
```

=====

# 6
DFT (PBE) results for crystalline TaNiB at its relaxed geometry.

Summary:
The magnetization comes out at 0.00 Bohr magnetons per cell. For the formation energy, the calculation gives -1.9 eV per formula unit. As for the symmetry: Cmcm (63). The value obtained for the calculated density is 12.355 g cm⁻³.

Structure (POSCAR):
```
TaNiB
1.0
-0.8933 -0.8222 2.8244
3.0571 -0.9943 0.6774
-0.0407 6.5942 1.9067
Ta Ni B
2 2 2
Direct
0.2500 0.9017 0.8032
0.7500 0.0983 0.1968
0.2500 0.7038 0.4075
0.7500 0.2962 0.5925
0.2500 0.5350 0.0700
0.7500 0.4650 0.9300
```

=====

# 7
DFT (PBE) results for crystalline TaNi12B5 at its relaxed geometry.

Summary:
The magnetization comes out at 0.00 Bohr magnetons per cell. For the formation energy, the calculation gives -3.6 eV per formula unit. As for the symmetry: Immm (71). The value obtained for the calculated density is 8.842 g cm⁻³.

Structure (POSCAR):
```
TaNi12B5
1.0
-1.3645 -5.7718 -1.5807
4.3118 2.5044 -3.5792
2.4508 0.3817 5.6144
Ni B Ta
12 5 1
Direct
0.6842 0.6770 0.3612
0.3158 0.6770 0.9929
0.8166 0.0362 0.2196
0.4702 0.1846 0.2856
0.8991 0.1846 0.7144
0.3158 0.3230 0.6388
0.6842 0.3230 0.0071
0.5298 0.8154 0.7144
0.1009 0.8154 0.2856
0.8166 0.5970 0.7804
0.1834 0.4030 0.2196
0.1834 0.9638 0.7804
0.6425 0.6425 0.0000
0.3575 0.3575 0.0000
0.0000 0.0000 0.0000
0.5000 0.8852 0.3852
0.5000 0.1148 0.6148
0.0000 0.5000 0.5000
```

=====

# 8
DFT (PBE) results for crystalline Ta2Ni3B2 at its relaxed geometry.

Summary:
The magnetization comes out at 0.00 Bohr magnetons per cell. For the formation energy, the calculation gives -3.4 eV per formula unit. As for the symmetry: Cmmm (65). The value obtained for the calculated density is 11.802 g cm⁻³.

Structure (POSCAR):
```
Ta2Ni3B2
1.0
3.2874 0.0000 0.0000
0.0000 3.0541 0.0000
0.0000 -1.5271 7.8419
Ni B Ta
3 2 2
Direct
0.5000 0.4230 0.8460
0.5000 0.5770 0.1540
0.0000 0.0000 0.0000
0.5000 0.7203 0.4406
0.5000 0.2797 0.5594
0.0000 0.1668 0.3336
0.0000 0.8332 0.6664
```